# 1
Crystalline MgTcNiRh at its relaxed geometry, computed with PBE.

Values from the calculation:
The calculated density comes out at 8.3 g/cm3. The calculation puts the energy relative to the elements at 49 meV per atom. Its density of states at the Fermi level is 1.619 states/eV per atom.

Cell: 4.314 4.314 4.314 Å, 60.00 60.00 60.00°
Fractional coordinates of all 4 atoms:
Mg 0.000 0.000 0.000
Tc 0.500 0.500 0.500
Ni 0.750 0.750 0.750
Rh 0.250 0.250 0.250

# 2
Crystalline MgPtBr2 at its relaxed geometry, computed with PBE.

Values from the calculation:
The calculated density comes out at 5.4 g/cm3. Its offset from the most stable computed form is 123 meV/atom.

Cell: 4.394 4.394 7.110 Å, 91.05 91.05 57.51°
Fractional coordinates of all 4 atoms:
Mg 0.000 0.000 0.000
Pt 0.684 0.684 0.108
Br 0.289 0.289 0.305
Br 0.573 0.573 0.775

# 3
Crystalline LaHoSc2In4 at its relaxed geometry, computed with PBE.

Values from the calculation:
The calculated density comes out at 6.9 g/cm3. The calculation puts the energy relative to the elements at -424 meV per atom. Its density of states at the Fermi level is 0.570 states/eV per atom.

Cell: 9.135 9.135 9.135 Å, 33.39 33.39 33.39°
Fractional coordinates of all 8 atoms:
La 0.000 0.000 0.000
Ho 0.500 0.500 0.500
Sc 0.250 0.250 0.250
Sc 0.750 0.750 0.750
In 0.128 0.128 0.128
In 0.378 0.378 0.378
In 0.622 0.622 0.622
In 0.872 0.872 0.872

# 4
Crystalline In2HgP at its relaxed geometry, computed with PBE.

Values from the calculation:
The calculated density comes out at 6.3 g/cm3. Its offset from the most stable computed form is 102 meV/atom. The calculation puts the energy relative to the elements at 79 meV per atom. Its density of states at the Fermi level is 0.216 states/eV per atom.

Cell: 7.086 7.086 7.086 Å, 122.15 122.15 86.32°
Fractional coordinates of all 8 atoms:
In 0.090 0.625 0.965
In 0.375 0.340 0.465
In 0.660 0.125 0.035
In 0.875 0.910 0.535
Hg 0.250 0.750 0.500
Hg 0.500 0.500 0.000
P 0.000 0.000 0.000
P 0.750 0.250 0.500

# 5
Crystalline SmCu2S2 at its relaxed geometry, computed with PBE.

Values from the calculation:
The calculated density comes out at 6.4 g/cm3. Its calculated total energy is -49.83 eV for the cell shown. Its density of states at the Fermi level is 0.442 states/eV per atom.

Cell: 6.425 6.425 6.001 Å, 116.20 116.20 100.05°
Fractional coordinates of all 10 atoms:
Sm 0.125 0.875 0.750
Sm 0.875 0.125 0.250
Cu 0.228 0.478 0.957
Cu 0.478 0.228 0.457
Cu 0.522 0.772 0.543
Cu 0.772 0.522 0.043
S 0.164 0.836 0.250
S 0.415 0.585 0.750
S 0.585 0.415 0.250
S 0.836 0.164 0.750

# 6
Crystalline SrLa2Ni at its relaxed geometry, computed with PBE.

Values from the calculation:
The calculated density comes out at 5.4 g/cm3. Its offset from the most stable computed form is 66 meV/atom. The calculation puts the energy relative to the elements at -42 meV per atom. Its density of states at the Fermi level is 1.225 states/eV per atom.

Cell: 6.778 6.778 6.066 Å, 116.51 116.51 32.07°
Fractional coordinates of all 4 atoms:
Sr 0.000 0.000 0.000
La 0.180 0.180 0.680
La 0.820 0.820 0.320
Ni 0.500 0.500 0.500

# 7
Crystalline Rh2NF at its relaxed geometry, computed with PBE.

Values from the calculation:
The calculated density comes out at 9.2 g/cm3. Its offset from the most stable computed form is 688 meV/atom. Its density of states at the Fermi level is 1.050 states/eV per atom.

Cell: 3.940 3.940 3.940 Å, 60.00 60.00 60.00°
Fractional coordinates of all 4 atoms:
Rh 0.250 0.250 0.250
Rh 0.750 0.750 0.750
N 0.000 0.000 0.000
F 0.500 0.500 0.500

# 8
Crystalline AlTe2Rh at its relaxed geometry, computed with PBE.

Values from the calculation:
The calculated density comes out at 7.6 g/cm3. Its calculated total energy is -15.93 eV for the cell shown. Its density of states at the Fermi level is 0.807 states/eV per atom.

Cell: 4.914 4.914 4.914 Å, 60.00 60.00 60.00°
Fractional coordinates of all 4 atoms:
Al 0.000 0.000 0.000
Te 0.500 0.500 0.500
Te 0.750 0.750 0.750
Rh 0.250 0.250 0.250

# 9
Crystalline Na2NbRe at its relaxed geometry, computed with PBE.

Values from the calculation:
The calculated density comes out at 6.3 g/cm3. Its offset from the most stable computed form is 0 meV/atom. The calculation puts the energy relative to the elements at 1556 meV per atom. Its density of states at the Fermi level is 1.024 states/eV per atom.

Cell: 6.396 6.396 6.396 Å, 98.58 98.58 134.57°
Fractional coordinates of all 8 atoms:
Na 0.109 0.625 0.984
Na 0.375 0.359 0.484
Na 0.641 0.125 0.016
Na 0.875 0.891 0.516
Nb 0.250 0.750 0.500
Nb 0.500 0.500 0.000
Re 0.000 0.000 0.000
Re 0.750 0.250 0.500

# 10
Crystalline Nd3Sn2 at its relaxed geometry, computed with PBE.

Values from the calculation:
The calculated density comes out at 6.6 g/cm3. The calculation puts the energy relative to the elements at -608 meV per atom. Its density of states at the Fermi level is 0.701 states/eV per atom.

Cell: 12.503 4.510 11.882 Å, 90.00 90.00 90.00°
Fractional coordinates of all 20 atoms:
Nd 0.048 0.250 0.131
Nd 0.127 0.750 0.555
Nd 0.227 0.250 0.796
Nd 0.273 0.750 0.296
Nd 0.373 0.250 0.055
Nd 0.452 0.750 0.631
Nd 0.548 0.250 0.369
Nd 0.627 0.750 0.945
Nd 0.727 0.250 0.704
Nd 0.773 0.750 0.204
Nd 0.873 0.250 0.445
Nd 0.952 0.750 0.869
Sn 0.006 0.750 0.315
Sn 0.187 0.750 0.998
Sn 0.313 0.250 0.498
Sn 0.494 0.250 0.815
Sn 0.506 0.750 0.185
Sn 0.687 0.750 0.502
Sn 0.813 0.250 0.002
Sn 0.994 0.250 0.685

# 11
Crystalline NaCrI2Br at its relaxed geometry, computed with PBE.

Values from the calculation:
The calculated density comes out at 4.0 g/cm3. Its calculated total energy is -18.95 eV for the cell shown. Its density of states at the Fermi level is 0.213 states/eV per atom.

Cell: 5.723 5.723 5.135 Å, 90.00 90.00 90.00°
Fractional coordinates of all 5 atoms:
Na 0.000 0.000 0.000
Cr 0.500 0.500 0.500
I 0.000 0.500 0.500
I 0.500 0.000 0.500
Br 0.500 0.500 0.000

# 12
Crystalline Li13As2 at its relaxed geometry, computed with PBE.

Values from the calculation:
The calculated density comes out at 1.4 g/cm3. The calculation puts the energy relative to the elements at -104 meV per atom. Its density of states at the Fermi level is 0.168 states/eV per atom.

Cell: 9.676 9.676 9.676 Å, 36.79 36.79 36.79°
Fractional coordinates of all 15 atoms:
Li 0.000 0.000 0.000
Li 0.058 0.058 0.541
Li 0.058 0.541 0.058
Li 0.237 0.237 0.652
Li 0.237 0.652 0.237
Li 0.348 0.763 0.763
Li 0.459 0.942 0.942
Li 0.541 0.058 0.058
Li 0.652 0.237 0.237
Li 0.763 0.348 0.763
Li 0.763 0.763 0.348
Li 0.942 0.459 0.942
Li 0.942 0.942 0.459
As 0.293 0.293 0.293
As 0.707 0.707 0.707

# 13
Crystalline NdCo2GeC at its relaxed geometry, computed with PBE.

Values from the calculation:
The calculated density comes out at 7.9 g/cm3. The calculation puts the energy relative to the elements at -412 meV per atom. Its density of states at the Fermi level is 0.549 states/eV per atom.

Cell: 5.706 5.706 6.929 Å, 90.00 90.00 140.01°
Fractional coordinates of all 10 atoms:
Nd 0.054 0.946 0.750
Nd 0.946 0.054 0.250
Co 0.340 0.660 0.558
Co 0.340 0.660 0.942
Co 0.660 0.340 0.058
Co 0.660 0.340 0.442
Ge 0.226 0.774 0.250
Ge 0.774 0.226 0.750
C 0.500 0.500 0.000
C 0.500 0.500 0.500